No. 1
# PBE Li3Pa2SbN6, relaxed
data_Li3Pa2SbN6
_symmetry_space_group_name_H-M 'C 1 2/m 1'
_symmetry_Int_Tables_number 12
_cell_length_a 5.847
_cell_length_b 10.375
_cell_length_c 5.481
_cell_angle_alpha 90.00
_cell_angle_beta 108.47
_cell_angle_gamma 90.00
loop_
_symmetry_equiv_pos_as_xyz
'x,y,z'
'-x,-y,-z'
'-x,y,-z'
'x,-y,z'
'x+1/2,y+1/2,z'
'-x+1/2,-y+1/2,-z'
'-x+1/2,y+1/2,-z'
'x+1/2,-y+1/2,z'
loop_
_atom_site_label
_atom_site_fract_x
_atom_site_fract_y
_atom_site_fract_z
_atom_site_occupancy
Li1 0.000 0.000 0.000 1
Li2 0.000 0.365 0.000 1
Pa1 0.000 0.166 0.500 1
Sb1 0.000 0.500 0.500 1
N1 0.226 0.341 0.714 1
N2 0.243 0.000 0.725 1
# Formation energy (no corrections) = -0.745 eV per atom

No. 2
# PBE Pm4Dy3Y, relaxed
data_Pm4Dy3Y
_symmetry_space_group_name_H-M 'C 1 2/m 1'
_symmetry_Int_Tables_number 12
_cell_length_a 23.579
_cell_length_b 3.506
_cell_length_c 6.800
_cell_angle_alpha 90.00
_cell_angle_beta 106.61
_cell_angle_gamma 90.00
loop_
_symmetry_equiv_pos_as_xyz
'x,y,z'
'-x,-y,-z'
'-x,y,-z'
'x,-y,z'
'x+1/2,y+1/2,z'
'-x+1/2,-y+1/2,-z'
'-x+1/2,y+1/2,-z'
'x+1/2,-y+1/2,z'
loop_
_atom_site_label
_atom_site_fract_x
_atom_site_fract_y
_atom_site_fract_z
_atom_site_occupancy
Pm1 0.124 0.000 0.370 1
Pm2 0.240 0.500 0.236 1
Dy1 0.000 0.000 0.500 1
Dy2 0.123 0.000 0.882 1
Y1 0.000 0.500 0.000 1
# Offset from the most stable computed form = 138.6 meV per atom
# Formation enthalpy at 0 K = 0.16 eV/atom

No. 3
# PBE Al2AgSb, relaxed
data_Al2AgSb
_symmetry_space_group_name_H-M 'C 1 m 1'
_symmetry_Int_Tables_number 8
_cell_length_a 8.626
_cell_length_b 3.127
_cell_length_c 6.276
_cell_angle_alpha 90.00
_cell_angle_beta 100.65
_cell_angle_gamma 90.00
loop_
_symmetry_equiv_pos_as_xyz
'x,y,z'
'x,-y,z'
'x+1/2,y+1/2,z'
'x+1/2,-y+1/2,z'
loop_
_atom_site_label
_atom_site_fract_x
_atom_site_fract_y
_atom_site_fract_z
_atom_site_occupancy
Al1 0.000 0.000 0.000 1
Al2 0.244 0.500 0.216 1
Ag1 0.483 0.000 0.406 1
Sb1 0.245 0.000 0.707 1
# Formation energy (no corrections) = 0.122 eV per atom

| no. | E_tot (eV/cell) |
| --- | --- |
| 1 | -175.49 |
| 2 | -75.95 |
| 3 | -27.94 |